Pd2S12Cl5: relaxed, PBE.

DOS(E_F): 7.04 states/eV per cell
spin magnetization: 0.604 μB/cell
calculated total energy: -69.9 eV/cell
ΔE_f (raw): -4 kJ per mole of atoms
SG: C2/m (12)

Cell: 8.757 8.757 13.636 Å, 119.51 119.51 46.13°
Atoms (fractional coordinates):
Pd (0.249, 0.751, 0.000)
Pd (0.751, 0.249, 0.000)
S (0.062, 0.584, 0.073)
S (0.065, 0.586, 0.528)
S (0.180, 0.180, 0.565)
S (0.189, 0.189, 0.847)
S (0.414, 0.935, 0.472)
S (0.416, 0.938, 0.927)
S (0.584, 0.062, 0.073)
S (0.586, 0.065, 0.528)
S (0.811, 0.811, 0.153)
S (0.820, 0.820, 0.435)
S (0.935, 0.414, 0.472)
S (0.938, 0.416, 0.927)
Cl (0.071, 0.071, 0.138)
Cl (0.432, 0.432, 0.863)
Cl (0.500, 0.500, 0.500)
Cl (0.568, 0.568, 0.137)
Cl (0.929, 0.929, 0.862)